[1]
VASP calculation (PBEsol) on a geometry-optimized SnSb2TeRh structure.

Properties
- Formation energy (no corrections): 1.410 eV per atom
- E: -3.5979 eV per atom
- Total moment: 0.45 Bohr magnetons per cell

Cell lengths 5.4257, 5.4257, 5.4675 Å; angles 90.00, 90.00, 90.00 degrees
With the nearest neighbours (Å) after each atom.
Atoms (fractional coordinates):
1 Sn 0.0000 0.0000 0.0000  4 Sb 2.71, 2 Te 2.73
2 Sb 0.0000 0.5000 0.0000  2 Sn 2.71
3 Sb 0.5000 0.0000 0.0000  2 Sn 2.71
4 Te 0.0000 0.0000 0.5000  2 Sn 2.73
5 Rh 0.5000 0.5000 0.5000  4 Te 3.84, 8 Sb 3.85


[2]
VASP calculation (PBEsol) on a geometry-optimized Hf10Al3Si3 structure.

Properties
- Formation energy (no corrections): -0.541 eV per atom
- E: -8.9505 eV per atom
- Total moment: 0.00 Bohr magnetons per cell

Cell lengths 7.9208, 7.9208, 5.5152 Å; angles 90.00, 90.00, 120.00 degrees
With the nearest neighbours (Å) after each atom.
Atoms (fractional coordinates):
1 Hf 0.0000 0.2433 0.0000  3 Al 2.73-2.87, 2 Si 2.99
2 Hf 0.0000 0.7553 0.5000  3 Si 2.71-2.89, 2 Al 3.00
3 Hf 0.2433 0.0000 0.0000  3 Al 2.73-2.87, 2 Si 2.99
4 Hf 0.2447 0.2447 0.5000  3 Si 2.71-2.89, 2 Al 3.00
5 Hf 0.3333 0.6667 0.2533  2 Hf 2.72-2.79, 3 Si 2.80, 3 Al 2.81
6 Hf 0.3333 0.6667 0.7467  2 Hf 2.72-2.79, 3 Si 2.80, 3 Al 2.81
7 Hf 0.6667 0.3333 0.2533  2 Hf 2.72-2.79, 3 Si 2.80, 3 Al 2.81
8 Hf 0.6667 0.3333 0.7467  2 Hf 2.72-2.79, 3 Si 2.80, 3 Al 2.81
9 Hf 0.7553 0.0000 0.5000  3 Si 2.71-2.89, 2 Al 3.00
10 Hf 0.7567 0.7567 0.0000  3 Al 2.73-2.87, 2 Si 2.99
11 Al 0.0000 0.6051 0.0000  9 Hf 2.73-3.00
12 Al 0.3949 0.3949 0.0000  9 Hf 2.73-3.00
13 Al 0.6051 0.0000 0.0000  9 Hf 2.73-3.00
14 Si 0.0000 0.3906 0.5000  9 Hf 2.71-2.99
15 Si 0.3906 0.0000 0.5000  9 Hf 2.71-2.99
16 Si 0.6094 0.6094 0.5000  9 Hf 2.71-2.99


[3]
VASP calculation (PBEsol) on a geometry-optimized LiAlRh2 structure.

Properties
- E: -6.1570 eV per atom
- DFT formation energy: -2.29 eV per formula unit
- Total moment: 0.00 Bohr magnetons per cell

Cell lengths 4.1437, 4.1437, 2.9255 Å; angles 90.00, 90.00, 90.00 degrees
With the nearest neighbours (Å) after each atom.
Atoms (fractional coordinates):
1 Li 0.0000 0.0000 0.0000  8 Rh 2.54
2 Al 0.5000 0.5000 0.0000  8 Rh 2.54
3 Rh 0.0000 0.5000 0.5000  4 Li 2.54, 4 Al 2.54
4 Rh 0.5000 0.0000 0.5000  4 Li 2.54, 4 Al 2.54


[4]
VASP calculation (PBEsol) on a geometry-optimized Zr2CrRu structure.

Properties
- E: -9.4386 eV per atom
- DFT formation energy: 0.84 eV per formula unit
- Total moment: 0.80 Bohr magnetons per cell

Cell lengths 4.3921, 4.3921, 5.4910 Å; angles 97.85, 97.85, 40.31 degrees
With the nearest neighbours (Å) after each atom.
Atoms (fractional coordinates):
1 Zr 0.2495 0.2495 0.2471  3 Cr 2.63-2.75, 3 Ru 2.64-2.77
2 Zr 0.7505 0.7505 0.7529  3 Cr 2.63-2.75, 3 Ru 2.64-2.77
3 Cr 0.5000 0.5000 0.0000  6 Zr 2.63-2.75
4 Ru 0.0000 0.0000 0.5000  6 Zr 2.64-2.77


[5]
VASP calculation (PBEsol) on a geometry-optimized ErNiBi structure.

Properties
- E: -5.8356 eV per atom
- DFT formation energy: -2.14 eV per formula unit
- Total moment: 0.00 Bohr magnetons per cell

Cell lengths 4.4860, 4.4860, 4.4860 Å; angles 60.00, 60.00, 60.00 degrees
With the nearest neighbours (Å) after each atom.
Atoms (fractional coordinates):
1 Er 0.0000 0.0000 0.0000  4 Ni 2.75
2 Ni 0.7500 0.7500 0.7500  4 Bi 2.75, 4 Er 2.75
3 Bi 0.5000 0.5000 0.5000  4 Ni 2.75


[6]
VASP calculation (PBEsol) on a geometry-optimized TlCrW2 structure.

Properties
- E: -9.5199 eV per atom
- DFT formation energy: 2.41 eV per formula unit
- Total moment: 0.00 Bohr magnetons per cell

Cell lengths 3.2345, 3.2345, 6.1831 Å; angles 90.00, 90.00, 90.00 degrees
With the nearest neighbours (Å) after each atom.
Atoms (fractional coordinates):
1 Tl 0.0000 0.0000 0.0000  4 Cr 2.84, 5 W 2.94-2.95
2 Cr 0.5000 0.5000 0.7265  5 W 2.61-2.63, 4 Tl 2.84
3 W 0.0000 0.0000 0.5246  4 Cr 2.61, 4 W 2.67
4 W 0.5000 0.5000 0.3008  1 Cr 2.63, 4 W 2.67, 4 Tl 2.95


[7]
VASP calculation (PBEsol) on a geometry-optimized Ta3GaHg structure.

Properties
- E: -7.1586 eV per atom
- DFT formation energy: 5.77 eV per formula unit
- Total moment: 0.00 Bohr magnetons per cell

Cell lengths 4.6712, 4.6712, 4.6712 Å; angles 90.00, 90.00, 90.00 degrees
With the nearest neighbours (Å) after each atom.
Atoms (fractional coordinates):
1 Ta 0.0000 0.0000 0.5000  2 Ga 2.34
2 Ta 0.0000 0.5000 0.0000  2 Ga 2.34
3 Ta 0.5000 0.0000 0.0000  2 Ga 2.34
4 Ga 0.0000 0.0000 0.0000  6 Ta 2.34
5 Hg 0.5000 0.5000 0.5000  12 Ta 3.30


[8]
VASP calculation (PBEsol) on a geometry-optimized CeSBr structure.

Properties
- Formation energy (no corrections): -1.871 eV per atom
- E: -6.1538 eV per atom
- Total moment: 8.03 Bohr magnetons per cell

Cell lengths 6.8174, 13.5450, 7.0233 Å; angles 90.00, 90.00, 90.00 degrees
With the nearest neighbours (Å) after each atom.
Atoms (fractional coordinates):
1 Ce 0.2421 0.0906 0.0357  4 S 2.77-2.78, 2 Br 3.02-3.03
2 Ce 0.2421 0.4094 0.5357  4 S 2.77-2.78, 2 Br 3.02-3.03
3 Ce 0.2579 0.5906 0.0357  4 S 2.77-2.78, 2 Br 3.02-3.03
4 Ce 0.2579 0.9094 0.5357  4 S 2.77-2.78, 2 Br 3.02-3.03
5 Ce 0.7421 0.0906 0.4643  4 S 2.77-2.78, 2 Br 3.02-3.03
6 Ce 0.7421 0.4094 0.9643  4 S 2.77-2.78, 2 Br 3.02-3.03
7 Ce 0.7579 0.5906 0.4643  4 S 2.77-2.78, 2 Br 3.02-3.03
8 Ce 0.7579 0.9094 0.9643  4 S 2.77-2.78, 2 Br 3.02-3.03
9 S 0.0012 0.0274 0.7417  4 Ce 2.77-2.78
10 S 0.0012 0.4726 0.2417  4 Ce 2.77-2.78
11 S 0.4988 0.5274 0.7417  4 Ce 2.77-2.78
12 S 0.4988 0.9726 0.2417  4 Ce 2.77-2.78
13 S 0.5012 0.0274 0.7583  4 Ce 2.77-2.78
14 S 0.5012 0.4726 0.2583  4 Ce 2.77-2.78
15 S 0.9988 0.5274 0.7583  4 Ce 2.77-2.78
16 S 0.9988 0.9726 0.2583  4 Ce 2.77-2.78
17 Br 0.1518 0.7064 0.3900  3 Ce 3.02-3.15
18 Br 0.1518 0.7936 0.8900  3 Ce 3.02-3.15
19 Br 0.3482 0.2064 0.3900  3 Ce 3.02-3.15
20 Br 0.3482 0.2936 0.8900  3 Ce 3.02-3.15
21 Br 0.6518 0.7064 0.1100  3 Ce 3.02-3.15
22 Br 0.6518 0.7936 0.6100  3 Ce 3.02-3.15
23 Br 0.8482 0.2064 0.1100  3 Ce 3.02-3.15
24 Br 0.8482 0.2936 0.6100  3 Ce 3.02-3.15


[9]
VASP calculation (PBEsol) on a geometry-optimized CuPtAu2 structure.

Properties
- E: -4.7831 eV per atom
- DFT formation energy: 0.01 eV per formula unit
- Total moment: 0.00 Bohr magnetons per cell

Cell lengths 5.3010, 5.3010, 5.3010 Å; angles 148.19, 128.72, 61.62 degrees
With the nearest neighbours (Å) after each atom.
Atoms (fractional coordinates):
1 Cu 0.0000 0.0000 0.0000  2 Pt 2.57, 6 Au 2.62-2.72
2 Pt 0.7667 0.2666 0.5000  2 Cu 2.57, 6 Au 2.73-2.80
3 Au 0.2392 0.7392 0.5000  2 Cu 2.62, 4 Pt 2.73, 4 Au 2.82-2.91
4 Au 0.5044 0.5044 0.0000  4 Cu 2.72, 2 Pt 2.80, 4 Au 2.82-2.91


[10]
VASP calculation (PBEsol) on a geometry-optimized LaTaTl2 structure.

Properties
- E: -5.5648 eV per atom
- DFT formation energy: 0.90 eV per formula unit
- Total moment: 0.00 Bohr magnetons per cell

Cell lengths 10.7217, 10.7217, 10.7217 Å; angles 17.20, 17.20, 17.20 degrees
With the nearest neighbours (Å) after each atom.
Atoms (fractional coordinates):
1 La 0.0000 0.0000 0.0000  6 La 3.21, 6 Tl 3.41
2 Ta 0.5000 0.5000 0.5000  6 Tl 3.04, 6 Ta 3.21
3 Tl 0.2430 0.2430 0.2430  3 Ta 3.04, 6 Tl 3.21, 3 La 3.41
4 Tl 0.7570 0.7570 0.7570  3 Ta 3.04, 6 Tl 3.21, 3 La 3.41


[11]
VASP calculation (PBEsol) on a geometry-optimized SrCo2TcH structure.

Properties
- E: -5.6681 eV per atom
- Total moment: 0.00 Bohr magnetons per cell

Cell lengths 4.4222, 4.4222, 4.0140 Å; angles 90.00, 90.00, 90.00 degrees
With the nearest neighbours (Å) after each atom.
Atoms (fractional coordinates):
1 Sr 0.0000 0.0000 0.0000  8 Co 2.99, 4 H 3.13
2 Co 0.0000 0.5000 0.5000  2 Tc 2.21
3 Co 0.5000 0.0000 0.5000  2 Tc 2.21
4 Tc 0.5000 0.5000 0.5000  2 H 2.01, 4 Co 2.21
5 H 0.5000 0.5000 0.0000  2 Tc 2.01


[12]
VASP calculation (PBEsol) on a geometry-optimized Y2MgSb structure.

Properties
- Formation energy (no corrections): -0.438 eV per atom
- E: -5.4179 eV per atom
- Total moment: 0.00 Bohr magnetons per cell

Cell lengths 4.1254, 4.1254, 6.3316 Å; angles 90.00, 90.00, 90.00 degrees
With the nearest neighbours (Å) after each atom.
Atoms (fractional coordinates):
1 Y 0.0000 0.0000 0.0000  2 Mg 3.08-3.25, 4 Sb 3.19
2 Y 0.5000 0.5000 0.2977  2 Sb 3.15-3.18, 4 Mg 3.22, 4 Y 3.47
3 Mg 0.0000 0.0000 0.5128  6 Y 3.08-3.25, 4 Sb 3.42
4 Sb 0.5000 0.5000 0.7957  6 Y 3.15-3.19, 4 Mg 3.42